[1]
{"formula": "LiTl2Cl", "functional": "PBE-GGA", "state": "relaxed", "cell": [[-2.2055, 0.7218, 2.4230], [1.4802, -2.2380, 2.0140], [6.4344, 7.5125, 3.6189]], "species": ["Cl", "Li", "Tl", "Tl"], "fractional_positions": [[0.0000, 0.0000, 0.6298], [0.5000, 0.5000, 0.6347], [0.0000, 0.0000, 0.9872], [0.5000, 0.5000, 0.2484]], "magnetic_moment_mub_per_fu": 0.0, "e_form_raw_mev_per_atom": -742, "crystal_system": "tetragonal"}

---

[2]
{"formula": "Pa2BiSb2H2", "functional": "PBE-GGA", "state": "relaxed", "cell": [[4.0737, 0.0000, 0.0000], [2.0368, 3.5279, 0.0000], [2.0368, 1.1760, 10.5617]], "species": ["Pa", "Pa", "Bi", "Sb", "Sb", "H", "H"], "fractional_positions": [[0.7359, 0.7359, 0.7924], [0.2641, 0.2641, 0.2076], [0.0000, 0.0000, 0.0000], [0.1317, 0.1317, 0.6050], [0.8683, 0.8683, 0.3950], [0.5982, 0.5982, 0.2055], [0.4018, 0.4018, 0.7945]], "dft_energy_ev_per_cell": -39.3, "magnetic_moment_mub_per_fu": 0.0, "crystal_system": "trigonal"}

---

[3]
{"formula": "Ca4Tl3Bi", "functional": "PBE-GGA", "state": "relaxed", "cell": [[-1.7749, -1.8879, 3.0068], [0.8728, -3.4904, -1.6764], [13.1962, -0.3391, 7.5766]], "species": ["Ca", "Ca", "Ca", "Ca", "Tl", "Tl", "Tl", "Bi"], "fractional_positions": [[0.0000, 0.0000, 0.8759], [0.0000, 0.0000, 0.1241], [0.0000, 0.0000, 0.3754], [0.0000, 0.0000, 0.6246], [0.5000, 0.5000, 0.2544], [0.5000, 0.5000, 0.5000], [0.5000, 0.5000, 0.7456], [0.5000, 0.5000, 0.0000]], "formation_energy_ev_per_atom": -0.51, "magnetic_moment_mub_per_fu": 0.0, "crystal_system": "tetragonal"}

---

[4]
{"formula": "LiPb2Se", "functional": "PBE-GGA", "state": "relaxed", "cell": [[8.4286, -0.0797, -0.0477], [7.5417, 3.7645, -0.0477], [7.5417, 1.7401, 3.3385]], "species": ["Li", "Pb", "Pb", "Se"], "fractional_positions": [[0.7500, 0.7500, 0.7500], [0.9978, 0.9978, 0.9978], [0.5022, 0.5022, 0.5022], [0.2500, 0.2500, 0.2500]], "magnetic_moment_mub_per_fu": 0.0, "e_form_raw_mev_per_atom": -128, "crystal_system": "trigonal"}

---

[5]
{"formula": "FeTeOs2", "functional": "PBE-GGA", "state": "relaxed", "cell": [[5.6029, 0.0000, 0.0000], [0.0000, 5.6029, 0.0000], [2.8015, 2.8015, 5.4385]], "species": ["Te", "Te", "Os", "Os", "Os", "Os", "Fe", "Fe"], "fractional_positions": [[0.0000, 0.0000, 0.0000], [0.7500, 0.2500, 0.5000], [0.5725, 0.1250, 0.2500], [0.1775, 0.6250, 0.2500], [0.3750, 0.4275, 0.7500], [0.8750, 0.8225, 0.7500], [0.5000, 0.5000, 0.0000], [0.2500, 0.7500, 0.5000]], "magnetic_moment_mub_per_fu": 0.0, "e_form_raw_mev_per_atom": 1088, "crystal_system": "tetragonal"}

---

- Which formula does entry 2 have?
  Pa2BiSb2H2